Entry 1:
{
  "formula": "HfHg2Pb",
  "functional": "PBE",
  "state": "optimized geometry",
  "space_group": "R-3m (166)",
  "e_form_kcal_per_mol_atoms": 7.569,
  "magnetic_moment_mub_per_atom": 0.000,
  "crystal_system": "trigonal",
  "cell": [[-1.8483, -1.6528, -2.1687], [-2.5787, -1.7656, 1.0415], [-8.2011, 7.9692, -1.5859]],
  "species": ["Hg", "Pb", "Hf", "Hg"],
  "fractional_positions": [[0.9161, 0.9161, 0.2517], [0.5000, 0.5000, 0.5000], [0.0000, 0.0000, 0.0000], [0.0839, 0.0839, 0.7483]]
}



Entry 2:
{
  "formula": "SmEuTlCu",
  "functional": "PBE",
  "state": "optimized geometry",
  "space_group": "F-43m (216)",
  "e_form_kcal_per_mol_atoms": -4.608,
  "magnetic_moment_mub_per_atom": 1.733,
  "crystal_system": "cubic",
  "cell": [[5.3421, 0.0000, 0.0000], [2.6710, 4.6264, 0.0000], [2.6710, 1.5421, 4.3618]],
  "species": ["Cu", "Sm", "Eu", "Tl"],
  "fractional_positions": [[0.2500, 0.2500, 0.2500], [0.5000, 0.5000, 0.5000], [0.0000, 0.0000, 0.0000], [0.7500, 0.7500, 0.7500]]
}



Entry 3:
{
  "formula": "SrAgSb",
  "functional": "PBE",
  "state": "optimized geometry",
  "raw_formation_energy_ev_per_atom": -0.677,
  "space_group": "I4_1md (109)",
  "magnetic_moment_mub_per_atom": 0.000,
  "crystal_system": "tetragonal",
  "cell": [[-0.0442, 4.6574, 0.1040], [-2.8350, -2.5389, 8.0974], [4.6490, 0.0376, 0.2986]],
  "species": ["Ag", "Sr", "Ag", "Sr", "Sb", "Sb"],
  "fractional_positions": [[0.4662, 0.1139, 0.7948], [0.2986, 0.7788, 0.1270], [0.7158, 0.6139, 0.5449], [0.0479, 0.2788, 0.3774], [0.8810, 0.9436, 0.7093], [0.6302, 0.4436, 0.9597]]
}



Entry 4:
{
  "formula": "OsBr2F",
  "functional": "PBE",
  "state": "optimized geometry",
  "raw_formation_energy_ev_per_atom": 0.388,
  "space_group": "R-3m (166)",
  "magnetic_moment_mub_per_atom": 0.000,
  "crystal_system": "trigonal",
  "polymorph_energy_mev_per_atom": 782,
  "cell": [[1.7301, 0.0000, 8.8892], [-0.8651, 1.4983, 8.8892], [-0.8651, -1.4983, 8.8892]],
  "species": ["Br", "F", "Os", "Br"],
  "fractional_positions": [[0.0888, 0.0888, 0.0888], [0.5000, 0.5000, 0.5000], [0.0000, 0.0000, 0.0000], [0.9112, 0.9112, 0.9112]]
}